No. 1
# PmErNp2S4 GGA-PBE optimized geometry
data_PmErNp2S4
_symmetry_space_group_name_H-M 'P 1 2/m 1'
_symmetry_Int_Tables_number 10
_cell_length_a 6.767
_cell_length_b 3.936
_cell_length_c 6.852
_cell_angle_alpha 90.00
_cell_angle_beta 109.62
_cell_angle_gamma 90.00
loop_
_symmetry_equiv_pos_as_xyz
'x,y,z'
'-x,-y,-z'
'-x,y,-z'
'x,-y,z'
loop_
_atom_site_label
_atom_site_fract_x
_atom_site_fract_y
_atom_site_fract_z
_atom_site_occupancy
Pm1 0.000 0.000 0.000 1
Er1 0.000 0.500 0.500 1
Np1 0.500 0.000 0.500 1
Np2 0.500 0.500 0.000 1
S1 0.249 0.000 0.744 1
S2 0.255 0.500 0.260 1
# Density of states at the Fermi level ... 19.2 states/eV/cell
# Uncorrected formation energy ... -1.666 eV/atom

No. 2
# Pm2ErNpS4 GGA-PBE optimized geometry
data_Pm2ErNpS4
_symmetry_space_group_name_H-M 'P 1 2/m 1'
_symmetry_Int_Tables_number 10
_cell_length_a 6.849
_cell_length_b 3.946
_cell_length_c 6.891
_cell_angle_alpha 90.00
_cell_angle_beta 109.23
_cell_angle_gamma 90.00
loop_
_symmetry_equiv_pos_as_xyz
'x,y,z'
'-x,-y,-z'
'-x,y,-z'
'x,-y,z'
loop_
_atom_site_label
_atom_site_fract_x
_atom_site_fract_y
_atom_site_fract_z
_atom_site_occupancy
Pm1 0.000 0.000 0.000 1
Pm2 0.500 0.500 0.000 1
Er1 0.000 0.500 0.500 1
Np1 0.500 0.000 0.500 1
S1 0.243 0.000 0.737 1
S2 0.252 0.500 0.262 1
# Density of states at the Fermi level ... 11.1 states/eV/cell
# Uncorrected formation energy ... -1.852 eV/atom

No. 3
# PmErNp2Se4 GGA-PBE optimized geometry
data_PmErNp2Se4
_symmetry_space_group_name_H-M 'P 1 2/m 1'
_symmetry_Int_Tables_number 10
_cell_length_a 7.113
_cell_length_b 4.103
_cell_length_c 7.129
_cell_angle_alpha 90.00
_cell_angle_beta 109.36
_cell_angle_gamma 90.00
loop_
_symmetry_equiv_pos_as_xyz
'x,y,z'
'-x,-y,-z'
'-x,y,-z'
'x,-y,z'
loop_
_atom_site_label
_atom_site_fract_x
_atom_site_fract_y
_atom_site_fract_z
_atom_site_occupancy
Pm1 0.000 0.000 0.000 1
Er1 0.000 0.500 0.500 1
Np1 0.500 0.000 0.500 1
Np2 0.500 0.500 0.000 1
Se1 0.248 0.000 0.743 1
Se2 0.253 0.500 0.257 1
# Density of states at the Fermi level ... 18.1 states/eV/cell
# Uncorrected formation energy ... -1.425 eV/atom

No. 4
# PrErNp2S4 GGA-PBE optimized geometry
data_PrErNp2S4
_symmetry_space_group_name_H-M 'P 1 2/m 1'
_symmetry_Int_Tables_number 10
_cell_length_a 6.796
_cell_length_b 3.954
_cell_length_c 6.896
_cell_angle_alpha 90.00
_cell_angle_beta 109.61
_cell_angle_gamma 90.00
loop_
_symmetry_equiv_pos_as_xyz
'x,y,z'
'-x,-y,-z'
'-x,y,-z'
'x,-y,z'
loop_
_atom_site_label
_atom_site_fract_x
_atom_site_fract_y
_atom_site_fract_z
_atom_site_occupancy
Pr1 0.000 0.000 0.000 1
Er1 0.000 0.500 0.500 1
Np1 0.500 0.000 0.500 1
Np2 0.500 0.500 0.000 1
S1 0.251 0.000 0.742 1
S2 0.259 0.500 0.264 1
# Density of states at the Fermi level ... 19.7 states/eV/cell
# Uncorrected formation energy ... -1.653 eV/atom

No. 5
# ErNp3Pt12 GGA-PBE optimized geometry
data_ErNp3Pt12
_symmetry_space_group_name_H-M 'P 4/m m m'
_symmetry_Int_Tables_number 123
_symmetry_space_group_name_Hall '-P 4 2'
_cell_length_a 4.130
_cell_length_b 4.130
_cell_length_c 16.656
_cell_angle_alpha 90.00
_cell_angle_beta 90.00
_cell_angle_gamma 90.00
loop_
_atom_site_label
_atom_site_fract_x
_atom_site_fract_y
_atom_site_fract_z
_atom_site_occupancy
Er1 0.000 0.000 0.000 1
Np1 0.000 0.000 0.247 1
Np2 0.000 0.000 0.500 1
Pt1 0.000 0.500 0.124 1
Pt2 0.000 0.500 0.373 1
Pt3 0.500 0.500 0.000 1
Pt4 0.500 0.500 0.249 1
Pt5 0.500 0.500 0.500 1
# Density of states at the Fermi level ... 42.5 states/eV/cell
# Energy of formation ... -0.721 eV per atom

No. 6
# Er2NpPt9 GGA-PBE optimized geometry
data_Er2NpPt9
_symmetry_space_group_name_H-M 'P 4/m m m'
_symmetry_Int_Tables_number 123
_symmetry_space_group_name_Hall '-P 4 2'
_cell_length_a 4.119
_cell_length_b 4.119
_cell_length_c 12.331
_cell_angle_alpha 90.00
_cell_angle_beta 90.00
_cell_angle_gamma 90.00
loop_
_atom_site_label
_atom_site_fract_x
_atom_site_fract_y
_atom_site_fract_z
_atom_site_occupancy
Er1 0.000 0.000 0.163 1
Np1 0.000 0.000 0.500 1
Pt1 0.000 0.500 0.000 1
Pt2 0.000 0.500 0.334 1
Pt3 0.500 0.500 0.166 1
Pt4 0.500 0.500 0.500 1
# Density of states at the Fermi level ... 16.2 states/eV/cell
# Energy of formation ... -0.932 eV per atom

No. 7
# ErNpPt2 GGA-PBE optimized geometry
data_ErNpPt2
_symmetry_space_group_name_H-M 'R -3 m'
_symmetry_Int_Tables_number 166
_symmetry_space_group_name_Hall '-R 3 2"'
_cell_length_a 4.0906
_cell_length_b 4.0906
_cell_length_c 19.4018
_cell_angle_alpha 90.00
_cell_angle_beta 90.00
_cell_angle_gamma 120.00
loop_
_atom_site_label
_atom_site_fract_x
_atom_site_fract_y
_atom_site_fract_z
_atom_site_occupancy
Er1 0.0000 0.0000 0.0000 1
Np1 0.0000 0.0000 0.5000 1
Pt1 0.0000 0.0000 0.2473 1
# Density of states at the Fermi level ... 32.4 states/eV/cell
# Relative energy among the computed polymorphs ... 0.051 eV/atom
# Energy of formation ... -0.768 eV per atom

No. 8
# ErNpPt2 GGA-PBE optimized geometry
data_ErNpPt2
_symmetry_space_group_name_H-M 'P 4/m m m'
_symmetry_Int_Tables_number 123
_symmetry_space_group_name_Hall '-P 4 2'
_cell_length_a 4.997
_cell_length_b 4.997
_cell_length_c 3.372
_cell_angle_alpha 90.00
_cell_angle_beta 90.00
_cell_angle_gamma 90.00
loop_
_atom_site_label
_atom_site_fract_x
_atom_site_fract_y
_atom_site_fract_z
_atom_site_occupancy
Er1 0.000 0.000 0.000 1
Np1 0.500 0.500 0.000 1
Pt1 0.000 0.500 0.500 1
# Density of states at the Fermi level ... 8.2 states/eV/cell
# Relative energy among the computed polymorphs ... 0.000 eV/atom
# Energy of formation ... -0.819 eV per atom